# 1
Compound: TbGa3Ir3
Source: Alexandria via LeMat-Bulk
Functional: PBE-GGA
Structure: optimized geometry

Uncorrected energy = -5.700 eV/atom

a = 6.7450 Å, b = 6.7450 Å, c = 6.7450 Å
α = 90.00°, β = 90.00°, γ = 90.00°
Closest atoms and distances in Å follow each position.
Atoms (fractional coordinates):
Ir  0.2500  0.0000  0.5000  4 Ga 2.38
Ir  0.0000  0.5000  0.2500  4 Ga 2.38
Ir  0.5000  0.7500  0.0000  4 Ga 2.38
Ir  0.7500  0.0000  0.5000  4 Ga 2.38
Ir  0.0000  0.5000  0.7500  4 Ga 2.38
Ir  0.5000  0.2500  0.0000  4 Ga 2.38
Tb  0.5000  0.5000  0.5000  12 Ir 3.77, 12 Ga 3.77
Tb  0.0000  0.0000  0.0000  12 Ir 3.77, 12 Ga 3.77
Ga  0.0000  0.2500  0.5000  4 Ir 2.38
Ga  0.0000  0.7500  0.5000  4 Ir 2.38
Ga  0.5000  0.0000  0.7500  4 Ir 2.38
Ga  0.7500  0.5000  0.0000  4 Ir 2.38
Ga  0.5000  0.0000  0.2500  4 Ir 2.38
Ga  0.2500  0.5000  0.0000  4 Ir 2.38

# 2
Compound: LiSn2I
Source: Alexandria via LeMat-Bulk
Functional: PBE-GGA
Structure: optimized geometry

Formation energy (no corrections) = -1.04 eV/f.u.

a = 4.1578 Å, b = 4.1578 Å, c = 16.1134 Å
α = 82.59°, β = 82.59°, γ = 90.00°
Closest atoms and distances in Å follow each position.
Atoms (fractional coordinates):
I  0.0000  0.0000  0.0000  4 Li 2.94
I  0.7500  0.2500  0.5000  4 Li 2.94
Sn  0.6205  0.1250  0.2500  4 Sn 2.91-2.97
Sn  0.1295  0.6250  0.2500  4 Sn 2.91-2.97
Sn  0.3750  0.3795  0.7500  4 Sn 2.91-2.97
Sn  0.8750  0.8705  0.7500  4 Sn 2.91-2.97
Li  0.5000  0.5000  0.0000  4 I 2.94
Li  0.2500  0.7500  0.5000  4 I 2.94

# 3
Compound: ScCoOs2
Source: Alexandria via LeMat-Bulk
Functional: PBE-GGA
Structure: optimized geometry

Uncorrected energy = -8.973 eV/atom

a = 2.8092 Å, b = 2.8092 Å, c = 7.4758 Å
α = 90.00°, β = 90.00°, γ = 90.00°
Closest atoms and distances in Å follow each position.
Atoms (fractional coordinates):
Co  0.5000  0.5000  0.7705  4 Os 2.59, 4 Sc 2.77, 4 Co 2.81
Os  0.0000  0.0000  0.9920  4 Co 2.59, 8 Os 2.64-2.81
Os  0.5000  0.5000  0.2244  8 Os 2.64-2.81, 4 Sc 2.93
Sc  0.0000  0.0000  0.5131  4 Co 2.77, 4 Sc 2.81, 4 Os 2.93

# 4
Compound: BeAg3
Source: Alexandria via LeMat-Bulk
Functional: PBE-GGA
Structure: optimized geometry

Uncorrected energy = -2.711 eV/atom

a = 5.0824 Å, b = 5.0824 Å, c = 5.0824 Å
α = 90.00°, β = 90.00°, γ = 90.00°
Closest atoms and distances in Å follow each position.
Atoms (fractional coordinates):
Be  0.0000  0.0000  0.0000  12 Ag 2.84
Be  0.5000  0.5000  0.5000  12 Ag 2.84
Ag  0.7500  0.5000  0.0000  2 Ag 2.54, 4 Be 2.84
Ag  0.2500  0.5000  0.0000  2 Ag 2.54, 4 Be 2.84
Ag  0.0000  0.7500  0.5000  2 Ag 2.54, 4 Be 2.84
Ag  0.0000  0.2500  0.5000  2 Ag 2.54, 4 Be 2.84
Ag  0.5000  0.0000  0.2500  2 Ag 2.54, 4 Be 2.84
Ag  0.5000  0.0000  0.7500  2 Ag 2.54, 4 Be 2.84

# 5
Compound: LiAcNdPt
Source: Alexandria via LeMat-Bulk
Functional: PBE-GGA
Structure: optimized geometry

Uncorrected energy = -4.680 eV/atom

a = 5.3013 Å, b = 5.3013 Å, c = 5.3013 Å
α = 60.00°, β = 60.00°, γ = 60.00°
Closest atoms and distances in Å follow each position.
Atoms (fractional coordinates):
Ac  0.2500  0.2500  0.2500  4 Li 3.25, 4 Pt 3.25
Nd  0.7500  0.7500  0.7500  4 Li 3.25, 4 Pt 3.25
Pt  0.5000  0.5000  0.5000  4 Ac 3.25, 4 Nd 3.25
Li  0.0000  0.0000  0.0000  4 Nd 3.25, 4 Ac 3.25

# 6
Compound: RbNp2PbO8
Source: Alexandria via LeMat-Bulk
Functional: PBE-GGA
Structure: optimized geometry

Formation energy (no corrections) = -21.18 eV/f.u.

a = 6.2824 Å, b = 6.2824 Å, c = 6.2536 Å
α = 90.00°, β = 90.00°, γ = 120.00°
Closest atoms and distances in Å follow each position.
Atoms (fractional coordinates):
Rb  0.0000  0.0000  0.0000  6 O 2.55
Np  0.6667  0.3333  0.0495  4 O 1.86-2.07
Np  0.3333  0.6667  0.9505  4 O 1.86-2.07
Pb  0.0000  0.0000  0.5000  2 Rb 3.13, 6 O 3.24
O  0.9353  0.5937  0.8517  1 Np 2.07
O  0.4063  0.3415  0.8517  1 Np 2.07
O  0.6585  0.0647  0.8517  1 Np 2.07
O  0.0647  0.4063  0.1483  1 Np 2.07
O  0.5937  0.6585  0.1483  1 Np 2.07
O  0.3415  0.9353  0.1483  1 Np 2.07
O  0.6667  0.3333  0.3471  1 Np 1.86
O  0.3333  0.6667  0.6529  1 Np 1.86

Listing total magnetic moment for the structures above in their given order: 0.00, 0.00, 0.31, 0.00, 0.00, 0.93 μB/f.u..
Listing N(E_F) for the structures above in their given order: 9.5, 3.4, 3.9, 3.1, 2.7, 6.8 states/eV per cell.